First-principles (PBE) data for a geometry-optimized TeH2Ru2 structure, as listed in Alexandria.

Values from the calculation:
Total moment: 0.0 μB/cell
Fermi-level density of states: 6.4 states/eV/cell
Volume: 12.95 A^3/atom

a b c (Å): 6.7055 6.7055 2.8805
angles (deg): 90.00 90.00 90.00
Space group P4/mbm (No. 127)
Unique sites:
Te (0.0000, 0.0000, 0.0000) (multiplicity 2)
H (0.0865, 0.4135, 0.5000) (multiplicity 4)
Ru (0.1260, 0.6260, 0.0000) (multiplicity 4)

***

First-principles (PBE) data for a geometry-optimized Te2HRu structure, as listed in Alexandria.

Values from the calculation:
Total moment: 0.0 μB/cell
Fermi-level density of states: 7.4 states/eV/cell
Volume: 16.84 A^3/atom

a b c (Å): 6.4594 6.4594 6.4594
angles (deg): 90.00 90.00 90.00
Space group Fm-3m (No. 225)
Unique sites:
Te (0.2500, 0.2500, 0.2500) (multiplicity 8)
H (0.0000, 0.0000, 0.0000) (multiplicity 4)
Ru (0.0000, 0.0000, 0.5000) (multiplicity 4)

***

First-principles (PBE) data for a geometry-optimized TeHRu3 structure, as listed in Alexandria.

Values from the calculation:
Total moment: 3.2 μB/cell
Fermi-level density of states: 3.7 states/eV/cell
Volume: 22.99 A^3/atom

a b c (Å): 4.8622 4.8622 4.8622
angles (deg): 90.00 90.00 90.00
Space group Pm-3m (No. 221)
Unique sites:
Te (0.0000, 0.0000, 0.0000) (multiplicity 1)
H (0.5000, 0.5000, 0.5000) (multiplicity 1)
Ru (0.0000, 0.0000, 0.5000) (multiplicity 3)

***

Calculated density in g/cm3, matching the order above: 8.5 8.8 6.2
Final energy in eV/atom, matching the order above: -5.09 -4.36 -4.72